[1]
The following is a PBE calculation of a relaxed structure of Nd12Er7Tm, from Alexandria via LeMat-Bulk.

POSCAR file:
```
Nd12Er7Tm
1.0
-0.873 6.046 1.138
-5.880 -1.125 -9.847
-4.742 -4.591 9.447
Nd Er Tm
12 7 1
direct
0.087 0.175 0.588
0.416 0.001 0.353
0.937 0.353 0.352
0.584 0.999 0.647
0.415 0.352 0.999
0.913 0.825 0.412
0.912 0.413 0.825
0.088 0.587 0.175
0.585 0.648 0.001
0.063 0.647 0.648
0.501 0.588 0.413
0.499 0.412 0.587
0.633 0.756 0.757
0.876 0.001 0.244
0.124 0.999 0.756
0.125 0.757 0.001
0.367 0.244 0.243
0.500 0.000 0.000
0.875 0.243 0.999
0.000 0.000 0.000
```

raw total energy = -0.3272 Ry per atom
DFT formation energy = 0.2290 eV per atom
size of the total moment = 0.0 μB per formula unit



[2]
The following is a PBE calculation of a relaxed structure of Nd4Er3Tm8, from Alexandria via LeMat-Bulk.

POSCAR file:
```
Nd4Er3Tm8
1.0
-1.829 5.953 -2.444
-6.107 -6.585 -2.245
-2.704 -1.005 8.796
Tm Er Nd
8 3 4
direct
0.005 0.270 0.270
0.000 0.636 0.364
0.524 0.268 0.268
0.995 0.730 0.730
0.000 0.364 0.636
0.476 0.732 0.732
0.500 0.255 0.745
0.500 0.745 0.255
0.500 0.500 0.500
0.500 0.000 0.500
0.500 0.500 0.000
0.000 0.500 0.000
0.500 0.000 0.000
0.000 0.000 0.500
0.000 0.000 0.000
```

raw total energy = -0.3082 Ry per atom
relative energy among the computed polymorphs = 0.254 eV per atom
DFT formation energy = 0.3749 eV per atom
size of the total moment = 0.1 μB per formula unit



[3]
The following is a PBE calculation of a relaxed structure of Nd7Er3Tm, from Alexandria via LeMat-Bulk.

POSCAR file:
```
Nd7Er3Tm
1.0
0.126 3.207 -4.946
0.217 -8.345 -1.887
-8.090 -1.733 2.188
Nd Er Tm
7 3 1
direct
0.309 0.597 0.020
0.000 0.500 0.500
0.309 0.020 0.597
0.691 0.980 0.403
0.790 0.791 0.791
0.210 0.209 0.209
0.691 0.403 0.980
0.500 0.000 0.000
0.000 0.795 0.205
0.000 0.205 0.795
0.500 0.500 0.500
```

raw total energy = -0.3275 Ry per atom
relative energy among the computed polymorphs = 0.114 eV per atom
DFT formation energy = 0.2297 eV per atom
size of the total moment = 0.0 μB per formula unit



[4]
The following is a PBE calculation of a relaxed structure of Nd7ErTm3, from Alexandria via LeMat-Bulk.

POSCAR file:
```
Nd7ErTm3
1.0
9.760 -2.422 -2.052
-5.669 8.306 2.058
-2.537 1.754 12.222
Tm Nd Er
6 14 2
direct
0.668 0.325 0.774
0.325 0.669 0.726
0.000 0.000 0.000
0.000 0.000 0.500
0.332 0.675 0.226
0.675 0.331 0.274
0.837 0.152 0.727
0.913 0.580 0.025
0.152 0.837 0.773
0.420 0.088 0.525
0.293 0.293 0.750
0.707 0.707 0.250
0.087 0.420 0.975
0.420 0.084 0.028
0.163 0.848 0.273
0.848 0.163 0.227
0.580 0.916 0.972
0.916 0.580 0.528
0.084 0.420 0.472
0.580 0.912 0.475
0.500 0.500 0.500
0.500 0.500 0.000
```

raw total energy = -0.3296 Ry per atom
relative energy among the computed polymorphs = 0.000 eV per atom
DFT formation energy = 0.1842 eV per atom
size of the total moment = 0.0 μB per formula unit



[5]
The following is a PBE calculation of a relaxed structure of Nd4Er3Tm5, from Alexandria via LeMat-Bulk.

POSCAR file:
```
Nd4Er3Tm5
1.0
5.898 0.000 0.000
2.949 7.569 -2.612
2.949 -0.809 9.102
Tm Er Nd
5 3 4
direct
0.792 0.539 0.878
0.635 0.934 0.796
0.365 0.066 0.204
0.500 0.500 0.500
0.208 0.461 0.122
0.000 0.500 0.500
0.474 0.311 0.742
0.526 0.689 0.258
0.168 0.049 0.616
0.832 0.951 0.384
0.137 0.777 0.949
0.863 0.223 0.051
```

raw total energy = -0.3203 Ry per atom
DFT formation energy = 0.2352 eV per atom
size of the total moment = 0.6 μB per formula unit



[6]
The following is a PBE calculation of a relaxed structure of Nd4Er5Tm2, from Alexandria via LeMat-Bulk.

POSCAR file:
```
Nd4Er5Tm2
1.0
-0.801 4.073 3.793
-5.162 2.234 -3.489
-5.312 -7.807 3.095
Nd Er Tm
4 5 2
direct
0.694 0.072 0.387
0.306 0.928 0.613
0.980 0.712 0.959
0.020 0.288 0.041
0.500 0.000 0.000
0.791 0.598 0.583
0.870 0.112 0.740
0.130 0.888 0.260
0.209 0.402 0.417
0.402 0.444 0.803
0.598 0.556 0.197
```

raw total energy = -0.3316 Ry per atom
relative energy among the computed polymorphs = 0.000 eV per atom
DFT formation energy = 0.1085 eV per atom
size of the total moment = 0.0 μB per formula unit



[7]
The following is a PBE calculation of a relaxed structure of NdErTm2, from Alexandria via LeMat-Bulk.

POSCAR file:
```
NdErTm2
1.0
5.644 0.000 0.000
2.822 4.888 0.000
2.822 1.629 4.608
Er Tm Nd
1 2 1
direct
0.500 0.500 0.500
0.250 0.250 0.250
0.750 0.750 0.750
0.000 0.000 0.000
```

raw total energy = -0.3271 Ry per atom
relative energy among the computed polymorphs = 0.110 eV per atom
DFT formation energy = 0.1180 eV per atom
size of the total moment = 0.0 μB per formula unit



[8]
The following is a PBE calculation of a relaxed structure of Nd5Er2Tm4, from Alexandria via LeMat-Bulk.

POSCAR file:
```
Nd5Er2Tm4
1.0
-3.109 0.660 -1.557
-5.451 -5.774 8.438
1.110 7.393 4.938
Er Tm Nd
2 4 5
direct
0.284 0.649 0.569
0.716 0.351 0.431
0.965 0.740 0.929
0.035 0.260 0.071
0.360 0.206 0.719
0.640 0.794 0.281
0.823 0.930 0.647
0.500 0.000 0.000
0.903 0.465 0.805
0.177 0.070 0.353
0.097 0.535 0.195
```

raw total energy = -0.3341 Ry per atom
relative energy among the computed polymorphs = 0.000 eV per atom
DFT formation energy = 0.0774 eV per atom
size of the total moment = 0.0 μB per formula unit



[9]
The following is a PBE calculation of a relaxed structure of Nd6ErTm2, from Alexandria via LeMat-Bulk.

POSCAR file:
```
Nd6ErTm2
1.0
6.241 -0.148 -0.143
1.147 9.942 1.383
1.147 1.705 9.892
Nd Tm Er
12 4 2
direct
0.014 0.592 0.311
0.347 0.926 0.644
0.680 0.260 0.978
0.320 0.740 0.022
0.847 0.644 0.926
0.986 0.408 0.689
0.153 0.356 0.074
0.180 0.978 0.260
0.653 0.074 0.356
0.820 0.022 0.740
0.486 0.689 0.408
0.514 0.311 0.592
0.916 0.767 0.566
0.584 0.434 0.233
0.084 0.233 0.434
0.416 0.566 0.767
0.250 0.100 0.900
0.750 0.900 0.100
```

raw total energy = -0.3378 Ry per atom
relative energy among the computed polymorphs = 0.000 eV per atom
DFT formation energy = 0.0831 eV per atom
size of the total moment = 0.0 μB per formula unit



[10]
The following is a PBE calculation of a relaxed structure of Nd2Er3Tm6, from Alexandria via LeMat-Bulk.

POSCAR file:
```
Nd2Er3Tm6
1.0
5.790 0.000 1.730
2.895 5.239 0.865
-1.326 0.000 11.528
Tm Nd Er
6 2 3
direct
0.749 0.000 0.754
0.082 0.333 0.754
0.251 0.000 0.246
0.584 0.333 0.246
0.416 0.667 0.754
0.918 0.667 0.246
0.167 0.667 0.500
0.833 0.333 0.500
0.335 0.330 0.000
0.000 0.000 0.000
0.665 0.670 0.000
```

raw total energy = -0.3206 Ry per atom
relative energy among the computed polymorphs = 0.000 eV per atom
DFT formation energy = 0.1883 eV per atom
size of the total moment = 0.0 μB per formula unit



[11]
The following is a PBE calculation of a relaxed structure of Nd4Er5Tm4, from Alexandria via LeMat-Bulk.

POSCAR file:
```
Nd4Er5Tm4
1.0
4.864 0.000 1.237
2.432 9.069 0.618
0.197 0.000 9.408
Er Nd Tm
5 4 4
direct
0.311 0.149 0.228
0.539 0.772 0.149
0.689 0.851 0.772
0.000 0.000 0.000
0.461 0.228 0.851
0.921 0.460 0.697
0.079 0.540 0.303
0.382 0.697 0.540
0.618 0.303 0.460
0.229 0.618 0.924
0.153 0.076 0.618
0.771 0.382 0.076
0.847 0.924 0.382
```

raw total energy = -0.3361 Ry per atom
DFT formation energy = 0.0246 eV per atom
size of the total moment = 0.0 μB per formula unit



[12]
The following is a PBE calculation of a relaxed structure of Nd12Er6Tm, from Alexandria via LeMat-Bulk.

POSCAR file:
```
Nd12Er6Tm
1.0
9.031 -0.610 -3.076
-4.111 8.064 -3.076
-0.402 -0.610 9.532
Nd Er Tm
12 6 1
direct
0.628 0.943 0.420
0.580 0.372 0.057
0.943 0.420 0.628
0.372 0.057 0.580
0.896 0.843 0.262
0.420 0.628 0.943
0.738 0.104 0.157
0.104 0.157 0.738
0.843 0.262 0.896
0.157 0.738 0.104
0.262 0.896 0.843
0.057 0.580 0.372
0.214 0.317 0.471
0.471 0.214 0.317
0.317 0.471 0.214
0.683 0.529 0.786
0.786 0.683 0.529
0.529 0.786 0.683
0.000 0.000 0.000
```

raw total energy = -0.3432 Ry per atom
relative energy among the computed polymorphs = 0.000 eV per atom
DFT formation energy = 0.0177 eV per atom
size of the total moment = 0.0 μB per formula unit



[13]
The following is a PBE calculation of a relaxed structure of Nd15ErTm4, from Alexandria via LeMat-Bulk.

POSCAR file:
```
Nd15ErTm4
1.0
-1.450 3.985 2.909
-4.734 -1.978 0.350
6.916 -12.836 21.031
Nd Tm Er
15 4 1
direct
0.000 0.500 0.500
0.000 0.500 0.700
0.500 0.000 0.300
0.500 0.500 0.400
0.500 0.000 0.700
0.500 0.000 0.100
0.000 0.500 0.300
0.500 0.500 0.800
0.500 0.500 0.600
0.500 0.500 0.000
0.500 0.500 0.200
0.500 0.000 0.900
0.500 0.000 0.500
0.000 0.500 0.900
0.000 0.500 0.100
0.000 0.000 0.400
0.000 0.000 0.200
0.000 0.000 0.600
0.000 0.000 0.800
0.000 0.000 0.000
```

raw total energy = -0.3446 Ry per atom
DFT formation energy = 0.0098 eV per atom
size of the total moment = 0.0 μB per formula unit



[14]
The following is a PBE calculation of a relaxed structure of NdErTm2, from Alexandria via LeMat-Bulk.

POSCAR file:
```
NdErTm2
1.0
7.223 0.000 0.000
0.000 6.087 -1.409
0.000 -3.551 12.382
Tm Nd Er
8 4 4
direct
0.001 0.460 0.125
0.249 0.541 0.373
0.999 0.960 0.625
0.751 0.041 0.873
0.001 0.040 0.375
0.999 0.540 0.875
0.249 0.959 0.127
0.751 0.459 0.627
0.750 0.955 0.122
0.750 0.545 0.378
0.250 0.045 0.878
0.250 0.455 0.622
0.499 0.460 0.125
0.501 0.960 0.625
0.501 0.540 0.875
0.499 0.040 0.375
```

raw total energy = -0.3352 Ry per atom
relative energy among the computed polymorphs = 0.000 eV per atom
DFT formation energy = 0.0076 eV per atom
size of the total moment = 0.0 μB per formula unit



[15]
The following is a PBE calculation of a relaxed structure of Nd3ErTm3, from Alexandria via LeMat-Bulk.

POSCAR file:
```
Nd3ErTm3
1.0
5.890 0.000 1.893
2.641 5.265 1.893
-1.471 -0.908 14.688
Tm Nd Er
6 6 2
direct
0.603 0.936 0.192
0.936 0.269 0.192
0.064 0.731 0.808
0.731 0.397 0.808
0.269 0.603 0.192
0.397 0.064 0.808
0.539 0.201 0.391
0.131 0.461 0.609
0.461 0.799 0.609
0.201 0.869 0.391
0.869 0.539 0.391
0.799 0.131 0.609
0.667 0.667 0.000
0.333 0.333 0.000
```

raw total energy = -0.3260 Ry per atom
relative energy among the computed polymorphs = 0.155 eV per atom
DFT formation energy = 0.1763 eV per atom
size of the total moment = 0.0 μB per formula unit



[16]
The following is a PBE calculation of a relaxed structure of NdEr7Tm5, from Alexandria via LeMat-Bulk.

POSCAR file:
```
NdEr7Tm5
1.0
6.230 0.000 2.283
2.978 7.923 1.514
0.386 -0.101 8.590
Er Nd Tm
7 1 5
direct
0.519 0.152 0.811
0.578 0.422 0.422
0.019 0.309 0.653
0.265 0.235 0.235
0.019 0.653 0.309
0.270 0.730 0.730
0.519 0.811 0.152
0.967 0.033 0.033
0.534 0.002 0.462
0.771 0.729 0.729
0.003 0.462 0.002
0.003 0.002 0.462
0.534 0.462 0.002
```

raw total energy = -0.3152 Ry per atom
DFT formation energy = 0.2550 eV per atom
size of the total moment = 0.1 μB per formula unit



[17]
The following is a PBE calculation of a relaxed structure of Nd5Er5Tm, from Alexandria via LeMat-Bulk.

POSCAR file:
```
Nd5Er5Tm
1.0
5.965 0.000 0.000
-2.983 9.449 0.332
0.000 -2.836 6.437
Er Nd Tm
5 5 1
direct
0.379 0.757 0.378
0.332 0.663 0.831
0.000 0.000 0.500
0.621 0.243 0.622
0.668 0.337 0.169
0.824 0.648 0.068
0.824 0.649 0.579
0.500 0.000 0.000
0.176 0.351 0.421
0.176 0.352 0.932
0.000 0.000 0.000
```

raw total energy = -0.3220 Ry per atom
DFT formation energy = 0.2660 eV per atom
size of the total moment = 0.5 μB per formula unit



[18]
The following is a PBE calculation of a relaxed structure of NdEr6Tm2, from Alexandria via LeMat-Bulk.

POSCAR file:
```
NdEr6Tm2
1.0
6.868 0.000 0.000
3.434 5.948 0.000
3.434 1.983 7.614
Er Tm Nd
6 2 1
direct
0.772 0.281 0.665
0.561 0.054 0.331
0.281 0.281 0.665
0.054 0.561 0.331
0.054 0.054 0.331
0.281 0.772 0.665
0.747 0.747 0.759
0.581 0.581 0.258
0.335 0.335 0.996
```

raw total energy = -0.3063 Ry per atom
relative energy among the computed polymorphs = 0.399 eV per atom
DFT formation energy = 0.3979 eV per atom
size of the total moment = 0.0 μB per formula unit



[19]
The following is a PBE calculation of a relaxed structure of Nd2Er9Tm, from Alexandria via LeMat-Bulk.

POSCAR file:
```
Nd2Er9Tm
1.0
-2.549 1.080 2.106
6.577 -1.763 8.862
0.019 9.954 -5.081
Er Tm Nd
9 1 2
direct
0.500 0.173 0.347
0.500 0.347 0.173
0.500 0.827 0.653
0.000 0.500 0.500
0.000 0.500 0.000
0.500 0.173 0.827
0.500 0.653 0.827
0.500 0.827 0.173
0.000 0.000 0.500
0.000 0.000 0.000
0.000 0.333 0.667
0.000 0.667 0.333
```

raw total energy = -0.3316 Ry per atom
relative energy among the computed polymorphs = 0.052 eV per atom
DFT formation energy = 0.0774 eV per atom
size of the total moment = 0.2 μB per formula unit